# SrAlTc2 (GGA-PBE, optimized geometry)
# E_form: 0.5766 eV/atom
# total magnetization: 0.000 μB per atom
# space group: No. 216
data_SrAlTc2
_symmetry_space_group_name_H-M 'P 1'
_symmetry_Int_Tables_number 1
_symmetry_space_group_name_Hall 'P 1'
_cell_length_a 4.697
_cell_length_b 4.697
_cell_length_c 4.697
_cell_angle_alpha 60.00
_cell_angle_beta 60.00
_cell_angle_gamma 60.00
loop_
_atom_site_label
_atom_site_fract_x
_atom_site_fract_y
_atom_site_fract_z
Sr1 0.750 0.750 0.750
Tc1 0.000 0.000 0.000
Tc2 0.250 0.250 0.250
Al1 0.500 0.500 0.500